Material: Na3Tl2In9
Method: DFT, GGA-PBE
State: optimized geometry

Cell: 5.0154 9.3186 9.3186 Å, 78.47 74.39 74.39°
With the nearest neighbours (Å) after each atom.
Fractional coordinates of all 14 atoms:
Na (0.0000, 0.0000, 0.0000)  12 In 3.46-3.86
Na (0.7129, 0.2871, 0.2871)  2 Tl 3.46, 12 In 3.53-3.82
Na (0.2871, 0.7129, 0.7129)  2 Tl 3.46, 12 In 3.53-3.82
Tl (0.5000, 0.3378, 0.6622)  8 In 3.14-3.34, 2 Na 3.46
Tl (0.5000, 0.6622, 0.3378)  8 In 3.14-3.34, 2 Na 3.46
In (0.0000, 0.5000, 0.5000)  4 Tl 3.15, 4 In 3.37
In (0.6384, 0.9858, 0.7374)  4 In 2.93-3.08, 1 Tl 3.14
In (0.3616, 0.0142, 0.2626)  4 In 2.93-3.08, 1 Tl 3.14
In (0.6384, 0.7374, 0.9858)  4 In 2.93-3.08, 1 Tl 3.14
In (0.3616, 0.2626, 0.0142)  4 In 2.93-3.08, 1 Tl 3.14
In (0.8461, 0.8784, 0.4295)  4 In 3.05-3.37, 2 Tl 3.34
In (0.1539, 0.1216, 0.5705)  4 In 3.05-3.37, 2 Tl 3.34
In (0.8461, 0.4295, 0.8784)  4 In 3.05-3.37, 2 Tl 3.34
In (0.1539, 0.5705, 0.1216)  4 In 3.05-3.37, 2 Tl 3.34

***

Material: NaTl7In2
Method: DFT, GGA-PBE
State: optimized geometry

Cell: 5.2003 9.1016 9.1016 Å, 121.88 90.00 90.00°
With the nearest neighbours (Å) after each atom.
Fractional coordinates of all 10 atoms:
Na (0.0000, 0.0000, 0.0000)  10 Tl 3.29-3.53
Tl (0.0000, 0.7931, 0.2069)  2 In 3.00, 1 Na 3.29
Tl (0.0000, 0.2069, 0.7931)  2 In 3.00, 1 Na 3.29
Tl (0.5000, 0.0759, 0.2946)  2 In 3.12-3.47, 5 Tl 3.28-3.48
Tl (0.5000, 0.9241, 0.7054)  2 In 3.12-3.47, 5 Tl 3.28-3.48
Tl (0.5000, 0.2946, 0.0759)  2 In 3.12-3.47, 5 Tl 3.28-3.48
Tl (0.5000, 0.7054, 0.9241)  2 In 3.12-3.47, 5 Tl 3.28-3.48
Tl (0.5000, 0.5000, 0.5000)  2 In 3.16, 4 Tl 3.28
In (0.5000, 0.6986, 0.3014)  5 Tl 3.00-3.16
In (0.5000, 0.3014, 0.6986)  5 Tl 3.00-3.16

Results
energy above the lowest structure with this stoichiometry: 0.127 eV/atom

***

Material: Na2Tl2In
Method: DFT, GGA-PBE
State: optimized geometry

Cell: 8.3210 8.3210 4.2236 Å, 90.00 90.00 90.00°
With the nearest neighbours (Å) after each atom.
Fractional coordinates of all 10 atoms:
Na (0.1640, 0.6640, 0.5000)  6 Tl 3.14-3.29
Na (0.6640, 0.8360, 0.5000)  6 Tl 3.14-3.29
Na (0.8360, 0.3360, 0.5000)  6 Tl 3.14-3.29
Na (0.3360, 0.1640, 0.5000)  6 Tl 3.14-3.29
Tl (0.3621, 0.8621, 0.0000)  6 Na 3.14-3.29, 2 In 3.22, 1 Tl 3.25
Tl (0.8621, 0.6379, 0.0000)  6 Na 3.14-3.29, 2 In 3.22, 1 Tl 3.25
Tl (0.6379, 0.1379, 0.0000)  6 Na 3.14-3.29, 2 In 3.22, 1 Tl 3.25
Tl (0.1379, 0.3621, 0.0000)  6 Na 3.14-3.29, 2 In 3.22, 1 Tl 3.25
In (0.0000, 0.0000, 0.0000)  4 Tl 3.22
In (0.5000, 0.5000, 0.0000)  4 Tl 3.22

Results
energy above the lowest structure with this stoichiometry: 0.057 eV/atom

***

Material: Na8TlIn6
Method: DFT, GGA-PBE
State: optimized geometry

Cell: 9.1240 9.1240 8.4282 Å, 57.23 57.23 60.00°
With the nearest neighbours (Å) after each atom.
Fractional coordinates of all 15 atoms:
Na (0.5462, 0.2099, 0.3656)  5 In 3.22-3.48, 3 Na 3.50-3.53
Na (0.7901, 0.1217, 0.6344)  5 In 3.22-3.48, 3 Na 3.50-3.53
Na (0.1217, 0.4538, 0.6344)  5 In 3.22-3.48, 3 Na 3.50-3.53
Na (0.6664, 0.6664, 0.0009)  6 In 3.17
Na (0.3336, 0.3336, 0.9991)  6 In 3.17
Na (0.8783, 0.5462, 0.3656)  5 In 3.22-3.48, 3 Na 3.50-3.53
Na (0.2099, 0.8783, 0.3656)  5 In 3.22-3.48, 3 Na 3.50-3.53
Na (0.4538, 0.7901, 0.6344)  5 In 3.22-3.48, 3 Na 3.50-3.53
Tl (0.0000, 0.0000, 0.0000)  6 In 3.11
In (0.3700, 0.0414, 0.8761)  1 Tl 3.11, 7 Na 3.17-3.48, 2 In 3.41
In (0.9586, 0.2875, 0.1239)  1 Tl 3.11, 7 Na 3.17-3.48, 2 In 3.41
In (0.2875, 0.6300, 0.1239)  1 Tl 3.11, 7 Na 3.17-3.48, 2 In 3.41
In (0.7125, 0.3700, 0.8761)  1 Tl 3.11, 7 Na 3.17-3.48, 2 In 3.41
In (0.0414, 0.7125, 0.8761)  1 Tl 3.11, 7 Na 3.17-3.48, 2 In 3.41
In (0.6300, 0.9586, 0.1239)  1 Tl 3.11, 7 Na 3.17-3.48, 2 In 3.41

Results
energy above the lowest structure with this stoichiometry: 0.004 eV/atom

***

Material: NaTl3In
Method: DFT, GGA-PBE
State: optimized geometry

Cell: 6.1445 8.9699 11.4789 Å, 103.53 90.00 110.03°
With the nearest neighbours (Å) after each atom.
Fractional coordinates of all 20 atoms:
Na (0.0000, 0.5000, 0.5000)  8 Tl 3.33-3.48, 4 In 3.49-3.51
Na (0.5000, 0.5000, 0.0000)  8 Tl 3.33-3.48, 4 In 3.49-3.51
Na (0.4372, 0.0000, 0.2500)  10 Tl 3.34-3.52, 2 In 3.55
Na (0.5628, 0.0000, 0.7500)  10 Tl 3.34-3.52, 2 In 3.55
Tl (0.1623, 0.2022, 0.7530)  7 Tl 3.37-3.55, 2 In 3.39, 3 Na 3.48-3.52
Tl (0.9600, 0.7978, 0.7470)  7 Tl 3.37-3.55, 2 In 3.39, 3 Na 3.48-3.52
Tl (0.8377, 0.7978, 0.2470)  7 Tl 3.37-3.55, 2 In 3.39, 3 Na 3.48-3.52
Tl (0.0400, 0.2022, 0.2530)  7 Tl 3.37-3.55, 2 In 3.39, 3 Na 3.48-3.52
Tl (0.3640, 0.6017, 0.7441)  3 Na 3.33-3.46, 3 In 3.34-3.44, 6 Tl 3.39-3.54
Tl (0.7623, 0.3983, 0.7559)  3 Na 3.33-3.46, 3 In 3.34-3.44, 6 Tl 3.39-3.54
Tl (0.6360, 0.3983, 0.2559)  3 Na 3.33-3.46, 3 In 3.34-3.44, 6 Tl 3.39-3.54
Tl (0.2377, 0.6017, 0.2441)  3 Na 3.33-3.46, 3 In 3.34-3.44, 6 Tl 3.39-3.54
Tl (0.7004, 0.8999, 0.9993)  3 Na 3.37-3.39, 6 Tl 3.37-3.55, 3 In 3.38-3.52
Tl (0.8005, 0.1001, 0.5007)  3 Na 3.37-3.39, 6 Tl 3.37-3.55, 3 In 3.38-3.52
Tl (0.1995, 0.8999, 0.4993)  3 Na 3.37-3.39, 6 Tl 3.37-3.55, 3 In 3.38-3.52
Tl (0.2996, 0.1001, 0.0007)  3 Na 3.37-3.39, 6 Tl 3.37-3.55, 3 In 3.38-3.52
In (0.1007, 0.6970, 0.9959)  8 Tl 3.34-3.52, 1 In 3.34, 3 Na 3.49-3.55
In (0.4038, 0.3030, 0.5041)  8 Tl 3.34-3.52, 1 In 3.34, 3 Na 3.49-3.55
In (0.8993, 0.3030, 0.0041)  8 Tl 3.34-3.52, 1 In 3.34, 3 Na 3.49-3.55
In (0.5962, 0.6970, 0.4959)  8 Tl 3.34-3.52, 1 In 3.34, 3 Na 3.49-3.55

Results
energy above the lowest structure with this stoichiometry: 0.000 eV/atom

***

Material: Na3Tl4In2
Method: DFT, GGA-PBE
State: optimized geometry

Cell: 6.6919 9.4251 9.4251 Å, 59.94 89.99 89.99°
With the nearest neighbours (Å) after each atom.
Fractional coordinates of all 18 atoms:
Na (0.7500, 0.1659, 0.1666)  2 Na 3.35, 8 Tl 3.52-3.61, 4 In 3.53-3.55
Na (0.7500, 0.8334, 0.8341)  2 Na 3.35, 8 Tl 3.52-3.61, 4 In 3.53-3.55
Na (0.2500, 0.8341, 0.8334)  2 Na 3.35, 8 Tl 3.52-3.61, 4 In 3.53-3.55
Na (0.2500, 0.1666, 0.1659)  2 Na 3.35, 8 Tl 3.52-3.61, 4 In 3.53-3.55
Na (0.2500, 0.5002, 0.4998)  2 Na 3.35, 8 Tl 3.53-3.54, 4 In 3.60-3.61
Na (0.7500, 0.4998, 0.5002)  2 Na 3.35, 8 Tl 3.53-3.54, 4 In 3.60-3.61
Tl (0.5000, 0.8341, 0.1726)  1 In 3.11, 4 Tl 3.19-3.35
Tl (0.0000, 0.8274, 0.1659)  1 In 3.11, 4 Tl 3.19-3.35
Tl (0.5000, 0.1659, 0.8274)  1 In 3.11, 4 Tl 3.19-3.35
Tl (0.0000, 0.1726, 0.8341)  1 In 3.11, 4 Tl 3.19-3.35
Tl (0.0009, 0.1725, 0.4950)  3 In 3.12-3.35, 2 Tl 3.20
Tl (0.4991, 0.5050, 0.8275)  3 In 3.12-3.35, 2 Tl 3.20
Tl (0.9991, 0.8275, 0.5050)  3 In 3.12-3.35, 2 Tl 3.20
Tl (0.5009, 0.4950, 0.1725)  3 In 3.12-3.35, 2 Tl 3.20
In (0.5012, 0.1607, 0.5001)  1 In 3.03, 4 Tl 3.11-3.35
In (0.9988, 0.4999, 0.8393)  1 In 3.03, 4 Tl 3.11-3.35
In (0.4988, 0.8393, 0.4999)  1 In 3.03, 4 Tl 3.11-3.35
In (0.0012, 0.5001, 0.1607)  1 In 3.03, 4 Tl 3.11-3.35

Results
energy above the lowest structure with this stoichiometry: 0.000 eV/atom

***

Material: Na2TlIn6
Method: DFT, GGA-PBE
State: optimized geometry

Cell: 6.2825 6.2896 6.2896 Å, 94.34 93.99 93.99°
With the nearest neighbours (Å) after each atom.
Fractional coordinates of all 9 atoms:
Na (0.6694, 0.6696, 0.6696)  1 Tl 3.33, 1 Na 3.42, 12 In 3.48-3.52
Na (0.3306, 0.3304, 0.3304)  1 Tl 3.33, 1 Na 3.42, 12 In 3.48-3.52
Tl (0.0000, 0.0000, 0.0000)  2 Na 3.33, 12 In 3.49-3.51
In (0.1670, 0.4999, 0.8325)  5 In 3.06-3.36
In (0.8330, 0.1675, 0.5001)  5 In 3.06-3.36
In (0.8330, 0.5001, 0.1675)  5 In 3.06-3.36
In (0.5000, 0.1670, 0.8330)  5 In 3.06-3.36
In (0.1670, 0.8325, 0.4999)  5 In 3.06-3.36
In (0.5000, 0.8330, 0.1670)  5 In 3.06-3.36

Results
energy above the lowest structure with this stoichiometry: 0.000 eV/atom

***

Material: Na4Tl2In
Method: DFT, GGA-PBE
State: optimized geometry

Cell: 5.4285 5.4285 8.5802 Å, 71.56 71.56 60.00°
With the nearest neighbours (Å) after each atom.
Fractional coordinates of all 7 atoms:
Na (0.8628, 0.8628, 0.4116)  1 In 3.29, 1 Tl 3.40, 6 Na 3.41-3.44
Na (0.1372, 0.1372, 0.5884)  1 In 3.29, 1 Tl 3.40, 6 Na 3.41-3.44
Na (0.5853, 0.5853, 0.2442)  4 Tl 3.20-3.25, 3 Na 3.41
Na (0.4147, 0.4147, 0.7558)  4 Tl 3.20-3.25, 3 Na 3.41
Tl (0.7211, 0.7211, 0.8367)  5 Na 3.20-3.40, 3 In 3.39
Tl (0.2789, 0.2789, 0.1633)  5 Na 3.20-3.40, 3 In 3.39
In (0.0000, 0.0000, 0.0000)  2 Na 3.29, 6 Tl 3.39

Results
energy above the lowest structure with this stoichiometry: 0.000 eV/atom

***

Formation enthalpy at 0 K values, unit eV per formula unit, following the record order: -0.75; 1.59; -0.27; -0.79; -0.27; -0.82; -0.59; -0.52.